(1)
The following is a PBE calculation of crystalline FePb2Au2 at its relaxed geometry, from Alexandria.

a = 7.0029 Å, b = 7.0029 Å, c = 4.7257 Å
α = 90.00°, β = 90.00°, γ = 90.00°
Last column: nearest neighbours and their distance in Å.
Space group P4/mbm (No. 127)
Unique sites:
Fe (0.0000, 0.0000, 0.0000)  4 Au 2.68
Pb (0.1751, 0.3249, 0.5000)  6 Au 2.95-3.27
Au (0.1460, 0.6460, 0.0000)  2 Fe 2.68, 1 Au 2.89, 2 Pb 2.95

The value obtained for the density of states at the Fermi level is 6.45 states/eV/cell. The value obtained for the formation energy is 0.27 eV/atom.

(2)
The following is a PBE calculation of crystalline FePb2Au at its relaxed geometry, from Alexandria.

a = 4.2407 Å, b = 4.2407 Å, c = 10.0050 Å
α = 90.00°, β = 90.00°, γ = 90.00°
Last column: nearest neighbours and their distance in Å.
Space group I-4m2 (No. 119)
Unique sites:
Fe (0.0000, 0.0000, 0.0000)  8 Pb 3.00-3.28, 4 Au 3.28
Pb (0.0000, 0.0000, 0.5000)  4 Fe 3.00, 4 Pb 3.28, 4 Au 3.28
Pb (0.0000, 0.5000, 0.7500)  4 Au 3.00, 4 Fe 3.28, 4 Pb 3.28
Au (0.0000, 0.5000, 0.2500)  8 Pb 3.00-3.28, 4 Fe 3.28

The value obtained for the density of states at the Fermi level is 7.61 states/eV/cell. As for the energy above the most stable polymorph in this dataset: 207.3 meV/atom. The value obtained for the formation energy is 0.43 eV/atom.

(3)
The following is a PBE calculation of crystalline FeRhPb2Au at its relaxed geometry, from Alexandria.

a = 5.1399 Å, b = 5.1399 Å, c = 5.1914 Å
α = 90.00°, β = 90.00°, γ = 90.00°
Last column: nearest neighbours and their distance in Å.
Space group P4/mmm (No. 123)
Unique sites:
Fe (0.0000, 0.0000, 0.0000)  4 Au 3.63, 8 Pb 3.65
Rh (0.5000, 0.5000, 0.5000)  4 Pb 2.57, 2 Au 2.60
Pb (0.0000, 0.5000, 0.5000)  2 Rh 2.57
Au (0.5000, 0.5000, 0.0000)  2 Rh 2.60

The value obtained for the density of states at the Fermi level is 9.83 states/eV/cell. The value obtained for the formation energy is 0.81 eV/atom.

Copy entry 2 word for word.
The following is a PBE calculation of crystalline FePb2Au at its relaxed geometry, from Alexandria.

a = 4.2407 Å, b = 4.2407 Å, c = 10.0050 Å
α = 90.00°, β = 90.00°, γ = 90.00°
Last column: nearest neighbours and their distance in Å.
Space group I-4m2 (No. 119)
Unique sites:
Fe (0.0000, 0.0000, 0.0000)  8 Pb 3.00-3.28, 4 Au 3.28
Pb (0.0000, 0.0000, 0.5000)  4 Fe 3.00, 4 Pb 3.28, 4 Au 3.28
Pb (0.0000, 0.5000, 0.7500)  4 Au 3.00, 4 Fe 3.28, 4 Pb 3.28
Au (0.0000, 0.5000, 0.2500)  8 Pb 3.00-3.28, 4 Fe 3.28

The value obtained for the density of states at the Fermi level is 7.61 states/eV/cell. As for the energy above the most stable polymorph in this dataset: 207.3 meV/atom. The value obtained for the formation energy is 0.43 eV/atom.